# CuAsIBr2, optimized geometry, DFT PBE
# formation energy (no corrections): 0.279 eV per atom
# total magnetization: 0.00 μB/f.u.
data_CuAsIBr2
_space_group_name_H-M_alt 'P 4/m m m'
_space_group_IT_number 123
_space_group_name_Hall '-P 4 2'
_cell_length_a 4.789
_cell_length_b 4.789
_cell_length_c 5.603
_cell_angle_alpha 90.00
_cell_angle_beta 90.00
_cell_angle_gamma 90.00
loop_
_atom_site_label
_atom_site_type_symbol
_atom_site_fract_x
_atom_site_fract_y
_atom_site_fract_z
Cu1 Cu 0.000 0.000 0.000
As1 As 0.000 0.000 0.500
I1 I 0.500 0.500 0.500
Br1 Br 0.000 0.500 0.000

---

# Li2TaCl, optimized geometry, DFT PBE
# formation energy (no corrections): -0.345 eV per atom
# total magnetization: 0.00 μB/f.u.
data_Li2TaCl
_space_group_name_H-M_alt 'C m m m'
_space_group_IT_number 65
_space_group_name_Hall '-C 2 2'
_cell_length_a 3.247
_cell_length_b 4.895
_cell_length_c 8.555
_cell_angle_alpha 90.00
_cell_angle_beta 90.00
_cell_angle_gamma 90.00
loop_
_atom_site_label
_atom_site_type_symbol
_atom_site_fract_x
_atom_site_fract_y
_atom_site_fract_z
Li1 Li 0.000 0.000 0.192
Ta1 Ta 0.000 0.500 0.500
Cl1 Cl 0.000 0.500 0.000

---

# TiPbS2F, optimized geometry, DFT PBE
# formation energy (no corrections): -1.456 eV per atom
# total magnetization: 0.89 μB/f.u.
data_TiPbS2F
_space_group_name_H-M_alt 'P 4/m m m'
_space_group_IT_number 123
_space_group_name_Hall '-P 4 2'
_cell_length_a 4.916
_cell_length_b 4.916
_cell_length_c 3.980
_cell_angle_alpha 90.00
_cell_angle_beta 90.00
_cell_angle_gamma 90.00
loop_
_atom_site_label
_atom_site_type_symbol
_atom_site_fract_x
_atom_site_fract_y
_atom_site_fract_z
Ti1 Ti 0.000 0.000 0.000
Pb1 Pb 0.500 0.500 0.500
S1 S 0.000 0.500 0.000
F1 F 0.000 0.000 0.500

---

# La12Pm5Nd2, optimized geometry, DFT PBE
# energy relative to the elements: 0.0783 eV per atom
# total magnetization: 0.00 μB/f.u.
data_La12Pm5Nd2
_space_group_name_H-M_alt 'C 1 2/m 1'
_space_group_IT_number 12
_cell_length_a 18.429
_cell_length_b 11.965
_cell_length_c 6.371
_cell_angle_alpha 90.00
_cell_angle_beta 102.54
_cell_angle_gamma 90.00
loop_
_space_group_symop_operation_xyz
'x,y,z'
'-x,-y,-z'
'-x,y,-z'
'x,-y,z'
'x+1/2,y+1/2,z'
'-x+1/2,-y+1/2,-z'
'-x+1/2,y+1/2,-z'
'x+1/2,-y+1/2,z'
loop_
_atom_site_label
_atom_site_type_symbol
_atom_site_fract_x
_atom_site_fract_y
_atom_site_fract_z
La1 La 0.054 0.000 0.271
La2 La 0.105 0.247 0.621
La3 La 0.116 0.500 0.001
La4 La 0.197 0.240 0.202
Pm1 Pm 0.000 0.500 0.500
Pm2 Pm 0.181 0.000 0.856
Pm3 Pm 0.213 0.500 0.555
Nd1 Nd 0.000 0.267 0.000

---

no.,volume (A^3/atom)
1,25.7
2,17.0
3,19.2
4,36.1